The following is a DFT calculation (PBE) of MgPb6 after structural relaxation.

Cell: 8.602 8.602 8.602 Å, 90.00 90.00 90.00°
Space group Im-3m (No. 229)
Unique sites:
Mg: 0.000 0.000 0.000 (multiplicity 2)
Pb: 0.000 0.250 0.500 (multiplicity 12)

- Formation energy: 0.47 eV per atom

The following is a DFT calculation (PBE) of DyTmBr3 after structural relaxation.

Cell: 18.591 3.857 11.449 Å, 90.00 125.26 90.00°
Space group C2/m (No. 12)
Unique sites:
Dy: 0.135 0.000 0.283 (multiplicity 4)
Tm: 0.069 0.500 0.959 (multiplicity 4)
Br: 0.030 0.000 0.744 (multiplicity 4)
Br: 0.169 0.500 0.507 (multiplicity 4)
Br: 0.209 0.000 0.118 (multiplicity 4)

- Uncorrected formation energy: -714 kJ/mol of formula units

The following is a DFT calculation (PBE) of Sc2Zn16Ni after structural relaxation.

Cell: 8.8084 8.8084 13.0267 Å, 90.00 90.00 120.00°
Space group R3m (No. 160, hexagonal axes)
Unique sites:
Sc: 0.0000 0.0000 0.0000 (multiplicity 3)
Sc: 0.0000 0.0000 0.3410 (multiplicity 3)
Zn: 0.0000 0.0000 0.7636 (multiplicity 3)
Zn: 0.9997 0.2959 0.6646 (multiplicity 18)
Zn: 0.0032 0.5016 0.8150 (multiplicity 9)
Zn: 0.0084 0.5042 0.1655 (multiplicity 9)
Zn: 0.1744 0.3488 0.8495 (multiplicity 9)
Ni: 0.0000 0.0000 0.5654 (multiplicity 3)

- Formation energy: -0.17 eV per atom

The following is a DFT calculation (PBE) of ScAgPbSe3 after structural relaxation.

Cell: 8.158 4.043 9.236 Å, 90.00 104.90 90.00°
Space group P2_1/m (No. 11)
Unique sites:
Sc: 0.177 0.250 0.164 (multiplicity 2)
Ag: 0.409 0.750 0.407 (multiplicity 2)
Pb: 0.294 0.750 0.749 (multiplicity 2)
Se: 0.059 0.250 0.856 (multiplicity 2)
Se: 0.221 0.250 0.471 (multiplicity 2)
Se: 0.393 0.750 0.121 (multiplicity 2)

- Uncorrected formation energy: -509 kJ/mol of formula units

The following is a DFT calculation (PBE) of In2GaCuTe after structural relaxation.

Cell: 5.145 5.145 4.810 Å, 90.00 90.00 90.00°
Space group P4/mmm (No. 123)
Unique sites:
In: 0.000 0.500 0.000 (multiplicity 2)
Ga: 0.000 0.000 0.500 (multiplicity 1)
Cu: 0.000 0.000 0.000 (multiplicity 1)
Te: 0.500 0.500 0.500 (multiplicity 1)

- Uncorrected formation energy: -14 kJ/mol of formula units

The following is a DFT calculation (PBE) of Rh2AuCl after structural relaxation.

Cell: 6.349 7.046 2.893 Å, 90.00 90.00 90.00°
Space group Cmmm (No. 65)
Unique sites:
Rh: 0.250 0.250 0.000 (multiplicity 4)
Au: 0.000 0.000 0.500 (multiplicity 2)
Cl: 0.000 0.500 0.500 (multiplicity 2)

- Uncorrected formation energy: 219 kJ/mol of formula units

The following is a DFT calculation (PBE) of Mg2Be2AlRh5 after structural relaxation.

Cell: 9.431 9.431 3.027 Å, 90.00 90.00 90.00°
Space group P4/mbm (No. 127)
Unique sites:
Mg: 0.174 0.326 0.000 (multiplicity 4)
Be: 0.125 0.625 0.000 (multiplicity 4)
Al: 0.000 0.000 0.000 (multiplicity 2)
Rh: 0.000 0.500 0.500 (multiplicity 2)
Rh: 0.070 0.794 0.500 (multiplicity 8)

- Formation energy: -0.65 eV per atom

The following is a DFT calculation (PBE) of Ge2PtI8 after structural relaxation.

Cell: 14.897 9.626 7.907 Å, 90.00 98.86 90.00°
Space group C2/m (No. 12)
Unique sites:
Ge: 0.212 0.000 0.361 (multiplicity 4)
Pt: 0.000 0.000 0.000 (multiplicity 2)
I: 0.101 0.500 0.575 (multiplicity 4)
I: 0.108 0.196 0.147 (multiplicity 8)
I: 0.146 0.000 0.647 (multiplicity 4)

- Uncorrected formation energy: -173 kJ/mol of formula units

The following is a DFT calculation (PBE) of MgNiMo after structural relaxation.

Cell: 4.172 10.419 4.154 Å, 90.00 90.00 90.00°
Space group Cmcm (No. 63)
Unique sites:
Mg: 0.000 0.249 0.250 (multiplicity 4)
Ni: 0.000 0.423 0.750 (multiplicity 4)
Mo: 0.000 0.064 0.750 (multiplicity 4)

- Formation energy: 0.16 eV per atom

The following is a DFT calculation (PBE) of YB4Rh6 after structural relaxation.

Cell: 5.702 5.702 8.265 Å, 90.00 90.00 90.00°
Space group I-42m (No. 121)
Unique sites:
Y: 0.000 0.000 0.000 (multiplicity 2)
B: 0.151 0.151 0.573 (multiplicity 8)
Rh: 0.000 0.500 0.000 (multiplicity 4)
Rh: 0.182 0.182 0.289 (multiplicity 8)

- Formation energy: -0.36 eV per atom

The following is a DFT calculation (PBE) of VCo2Bi after structural relaxation.

Cell: 4.208 4.208 15.623 Å, 90.00 90.00 90.00°
Space group I-42d (No. 122)
Unique sites:
V: 0.000 0.000 0.000 (multiplicity 4)
Co: 0.158 0.250 0.125 (multiplicity 8)
Bi: 0.000 0.000 0.500 (multiplicity 4)

- Formation energy: 0.65 eV per atom

The following is a DFT calculation (PBE) of YCdRh after structural relaxation.

Cell: 10.462 3.911 6.401 Å, 90.00 106.88 90.00°
Space group C2/m (No. 12)
Unique sites:
Y: 0.129 0.000 0.312 (multiplicity 4)
Cd: 0.170 0.000 0.831 (multiplicity 4)
Rh: 0.000 0.500 0.000 (multiplicity 2)
Rh: 0.000 0.500 0.500 (multiplicity 2)

- Formation energy: -0.49 eV per atom

The following is a DFT calculation (PBE) of Sr2Ga2I after structural relaxation.

Cell: 9.273 9.273 4.088 Å, 90.00 90.00 90.00°
Space group P4/mbm (No. 127)
Unique sites:
Sr: 0.198 0.302 0.000 (multiplicity 4)
Ga: 0.093 0.593 0.500 (multiplicity 4)
I: 0.000 0.000 0.000 (multiplicity 2)

- Uncorrected formation energy: -271 kJ/mol of formula units

The following is a DFT calculation (PBE) of SrB2H7 after structural relaxation.

Cell: 4.005 13.994 3.196 Å, 90.00 90.00 90.00°
Space group Cmmm (No. 65)
Unique sites:
Sr: 0.000 0.000 0.000 (multiplicity 2)
B: 0.000 0.388 0.500 (multiplicity 4)
H: 0.000 0.404 0.000 (multiplicity 4)
H: 0.000 0.500 0.500 (multiplicity 2)
H: 0.246 0.159 0.500 (multiplicity 8)

- Raw total energy: -76.34 eV/cell

The following is a DFT calculation (PBE) of PaHg2Bi after structural relaxation.

Cell: 4.545 4.545 5.038 Å, 90.00 90.00 90.00°
Space group P4/mmm (No. 123)
Unique sites:
Pa: 0.000 0.000 0.000 (multiplicity 1)
Hg: 0.000 0.500 0.500 (multiplicity 2)
Bi: 0.500 0.500 0.000 (multiplicity 1)

- Formation energy: -0.08 eV per atom

The following is a DFT calculation (PBE) of K2OsSe after structural relaxation.

Cell: 3.399 3.399 10.096 Å, 90.00 90.00 90.00°
Space group P4mm (No. 99)
Unique sites:
K: 0.000 0.000 0.000 (multiplicity 1)
K: 0.500 0.500 0.412 (multiplicity 1)
Os: 0.000 0.000 0.666 (multiplicity 1)
Se: 0.500 0.500 0.751 (multiplicity 1)

- Uncorrected formation energy: 141 kJ/mol of formula units

The following is a DFT calculation (PBE) of KCaBi2 after structural relaxation.

Cell: 3.9298 3.9298 31.7422 Å, 90.00 90.00 120.00°
Space group R-3m (No. 166, hexagonal axes)
Unique sites:
K: 0.0000 0.0000 0.0000 (multiplicity 3)
Ca: 0.0000 0.0000 0.5000 (multiplicity 3)
Bi: 0.0000 0.0000 0.2436 (multiplicity 6)

- Formation energy: -0.41 eV per atom